The following is a DFT calculation (PBE+U) of a geometry-optimized LaNi2O2 structure.

Unit cell a=3.997 b=3.997 c=4.864 alpha=65.74 beta=65.74 gamma=90.00
Fractional positions:
1 Ni 0.340 0.340 0.319
2 Ni 0.660 0.660 0.681
3 O 0.750 0.250 0.500
4 O 0.250 0.750 0.500
5 La 0.000 0.000 0.000

Density of states at the Fermi level in states/eV per cell: 1.21
Total DFT energy (no corrections) in eV per atom: -5.12
V in Å³ per cell: 63.3